Material: Pr3Ga9Rh2
Method: DFT, GGA-PBE
State: relaxed

Results
Formation energy from the elements (eV/f.u.): -9.3
Theoretical density (Mg/m³): 7.78
M_tot (μB/cell): 0.0

a = 4.3365 Å, b = 9.6439 Å, c = 12.8278 Å
α = 90.00°, β = 90.00°, γ = 90.00°
Space group Immm (No. 71)
Symmetry-distinct sites (fractional):
Pr: 0.0000 0.0000 0.0000 (multiplicity 2)
Pr: 0.0000 0.0000 0.3011 (multiplicity 4)
Ga: 0.0000 0.2806 0.1317 (multiplicity 8)
Ga: 0.0000 0.3614 0.3445 (multiplicity 8)
Ga: 0.0000 0.5000 0.0000 (multiplicity 2)
Rh: 0.0000 0.1838 0.5000 (multiplicity 4)